Record 1
The following is a GGA-PBE calculation of a relaxed structure of AcSmTe3Pd, from Alexandria.

a = 4.425 Å, b = 8.802 Å, c = 10.035 Å
α = 101.67°, β = 90.00°, γ = 90.00°
Fractional coordinates of all 12 atoms:
Ac1 0.250 0.175 0.272
Ac2 0.750 0.825 0.728
Te1 0.250 0.585 0.844
Te2 0.750 0.246 0.519
Te3 0.750 0.415 0.156
Te4 0.750 0.908 0.126
Te5 0.250 0.754 0.481
Te6 0.250 0.092 0.874
Sm1 0.750 0.324 0.824
Sm2 0.250 0.676 0.176
Pd1 0.750 0.916 0.402
Pd2 0.250 0.084 0.598

Computed properties:
crystal system = monoclinic
space-group type = P2_1/m, No. 11
formation energy without anion corrections = -1.315 eV/atom

---

Record 2
The following is a GGA-PBE calculation of a relaxed structure of Rb8Au2F, from Alexandria.

a = 8.590 Å, b = 8.975 Å, c = 9.154 Å
α = 89.83°, β = 117.98°, γ = 90.00°
Fractional coordinates of all 11 atoms:
F1 0.000 0.000 0.000
Au1 0.089 0.464 0.179
Au2 0.911 0.536 0.821
Rb1 0.813 0.891 0.627
Rb2 0.264 0.772 0.067
Rb3 0.295 0.591 0.591
Rb4 0.803 0.772 0.067
Rb5 0.705 0.409 0.409
Rb6 0.736 0.228 0.933
Rb7 0.197 0.228 0.933
Rb8 0.187 0.109 0.373

Computed properties:
crystal system = monoclinic
space-group type = C2/m, No. 12
formation energy without anion corrections = -0.561 eV/atom

---

Record 3
The following is a GGA-PBE calculation of a relaxed structure of Ac6Co2CuI3, from Alexandria.

a = 7.538 Å, b = 7.538 Å, c = 8.978 Å
α = 98.04°, β = 98.04°, γ = 120.00°
Fractional coordinates of all 12 atoms:
Ac1 0.061 0.412 0.183
Ac2 0.290 0.290 0.817
Ac3 0.412 0.061 0.183
Ac4 0.710 0.710 0.183
Ac5 0.588 0.939 0.817
Ac6 0.939 0.588 0.817
Co1 0.667 0.333 0.000
Co2 0.333 0.667 0.000
Cu1 0.000 0.000 0.000
I1 0.165 0.835 0.500
I2 0.835 0.165 0.500
I3 0.500 0.500 0.500

Computed properties:
crystal system = monoclinic
space-group type = C2/m, No. 12
formation energy without anion corrections = -0.620 eV/atom

---

Record 4
The following is a GGA-PBE calculation of a relaxed structure of PaCdCu17, from Alexandria.

a = 6.419 Å, b = 6.419 Å, c = 6.419 Å
α = 82.56°, β = 82.56°, γ = 82.56°
Fractional coordinates of all 19 atoms:
Cu1 0.699 0.000 0.298
Cu2 0.647 0.163 0.647
Cu3 0.102 0.102 0.102
Cu4 0.993 0.993 0.504
Cu5 0.298 0.000 0.699
Cu6 0.346 0.346 0.854
Cu7 0.504 0.993 0.993
Cu8 0.346 0.854 0.346
Cu9 0.905 0.905 0.905
Cu10 0.647 0.647 0.163
Cu11 0.854 0.346 0.346
Cu12 0.298 0.699 0.000
Cu13 0.699 0.298 0.000
Cu14 0.000 0.699 0.298
Cu15 0.000 0.298 0.699
Cu16 0.993 0.504 0.993
Cu17 0.163 0.647 0.647
Pa1 0.663 0.663 0.663
Cd1 0.343 0.343 0.343

Computed properties:
ΔH_f (0 K) = 0.73 eV per formula unit
crystal system = trigonal
space-group type = R3m, No. 160